Material: AcSm3Y3
Method: DFT, GGA-PBE
State: optimized geometry

It has space group R3m (No. 160, hexagonal axes), with a = 14.4023 Å, b = 14.4023 Å, c = 17.2740 Å, α = 90.00°, β = 90.00° and γ = 120.00°. The inequivalent atoms are Ac at (0.0000, 0.0000, 0.0000), Ac at (0.0850, 0.1700, 0.7794), Sm at (0.0035, 0.2571, 0.5983), Sm at (0.0821, 0.1642, 0.2610), Sm at (0.1719, 0.3439, 0.9385), Y at (0.0017, 0.2499, 0.0998), Y at (0.0074, 0.5037, 0.0919) and Y at (0.1659, 0.0829, 0.4346).

The volume comes out at 36.94 A^3/atom. The formation energy comes out at 0.21 eV/atom.

=====

Material: Ac9Sm2Y
Method: DFT, GGA-PBE
State: optimized geometry

It has space group P4/mmm (No. 123), with a = 5.5095 Å, b = 5.5095 Å, c = 16.5339 Å, α = 90.00°, β = 90.00° and γ = 90.00°. The inequivalent atoms are Ac at (0.0000, 0.0000, 0.0000), Ac at (0.0000, 0.0000, 0.3331), Ac at (0.0000, 0.5000, 0.1661), Ac at (0.0000, 0.5000, 0.5000), Sm at (0.5000, 0.5000, 0.3328) and Y at (0.5000, 0.5000, 0.0000).

The volume comes out at 41.82 A^3/atom. The formation energy comes out at 0.03 eV/atom.